Record 1
This record from Alexandria via LeMat-Bulk describes a relaxed YEr2Zn2 crystal. The functional is PBE-GGA.

Cell and atoms, written as POSCAR:
```
YEr2Zn2
1.0
3.582 0.000 0.000
0.000 5.126 0.000
-1.789 0.000 13.133
Y Er Zn
2 4 4
direct
0.143 0.250 0.287 Y
0.857 0.750 0.713 Y
0.046 0.750 0.092 Er
0.233 0.750 0.465 Er
0.767 0.250 0.535 Er
0.954 0.250 0.908 Er
0.360 0.250 0.720 Zn
0.452 0.750 0.904 Zn
0.548 0.250 0.096 Zn
0.640 0.750 0.280 Zn
```

Results
Electronic total energy (hartree per atom): -0.1437
V (Å³/f.u.): 120.6
E_form (eV per atom): -0.2817
Crystal system: monoclinic
N(E_F) (states/eV per cell): 9.52

Record 2
This record from Alexandria via LeMat-Bulk describes a relaxed Y9Er4Zn11 crystal. The functional is PBE-GGA.

Cell and atoms, written as POSCAR:
```
Y9Er4Zn11
1.0
7.684 -10.604 0.000
7.684 10.604 0.000
0.000 0.000 3.448
Y Er Zn
9 4 11
direct
0.000 0.000 0.000 Y
0.123 0.647 0.000 Y
0.295 0.475 0.000 Y
0.353 0.877 0.000 Y
0.475 0.295 0.000 Y
0.525 0.705 0.000 Y
0.647 0.123 0.000 Y
0.705 0.525 0.000 Y
0.877 0.353 0.000 Y
0.079 0.255 0.000 Er
0.255 0.079 0.000 Er
0.745 0.921 0.000 Er
0.921 0.745 0.000 Er
0.084 0.445 0.500 Zn
0.130 0.870 0.500 Zn
0.277 0.277 0.500 Zn
0.325 0.675 0.500 Zn
0.445 0.084 0.500 Zn
0.500 0.500 0.500 Zn
0.555 0.916 0.500 Zn
0.675 0.325 0.500 Zn
0.723 0.723 0.500 Zn
0.870 0.130 0.500 Zn
0.916 0.555 0.500 Zn
```

Results
Electronic total energy (hartree per atom): -0.1479
V (Å³/f.u.): 561.9
E_form (eV per atom): -0.2557
Crystal system: orthorhombic
N(E_F) (states/eV per cell): 25.55